The following is a GGA-PBE calculation of Rb2In4PtAu after structural relaxation, from OQMD via LeMat-Bulk.

Structure (extended XYZ):
```
8
Lattice="-2.9148 -2.9768 7.0154 6.0298 -1.2884 1.9585 4.7371 2.9897 3.2368" Properties=species:S:1:pos:R:3 pbc="T T T"
Rb 3.4083 -0.7196 5.8555
Rb 5.9090 0.9337 2.8512
Au 2.9534 0.4667 1.4251
In 0.8873 -0.6509 3.0758
In 8.3947 0.8208 5.7432
In -0.1948 -1.7560 5.6802
In 6.6515 -0.9596 9.9389
Pt 6.3138 -0.2605 7.2575
```

Uncorrected energy: -24.3 eV for the cell shown

The following is a GGA-PBE calculation of AlTcSb2 after structural relaxation, from OQMD via LeMat-Bulk.

Structure (extended XYZ):
```
4
Lattice="0.9673 4.0044 2.5015 3.7716 2.7455 -1.2105 -0.7121 4.3246 -2.0046" Properties=species:S:1:pos:R:3 pbc="T T T"
Sb 3.0201 8.3058 -0.5352
Sb 2.0134 5.5372 -0.3568
Al 1.0067 2.7686 -0.1784
Tc 0.0000 0.0000 0.0000
```

Uncorrected energy: -20.3 eV for the cell shown

The following is a GGA-PBE calculation of SrErTh after structural relaxation, from OQMD via LeMat-Bulk.

Structure (extended XYZ):
```
3
Lattice="0.0000 3.9950 3.9950 3.9950 0.0000 3.9950 3.9950 3.9950 0.0000" Properties=species:S:1:pos:R:3 pbc="T T T"
Sr 1.9975 1.9975 1.9975
Th 5.9925 5.9925 5.9925
Er 0.0000 0.0000 0.0000
```

Uncorrected energy: -10.8 eV for the cell shown

The following is a GGA-PBE calculation of GdDy2HoMg2 after structural relaxation, from OQMD via LeMat-Bulk.

Structure (extended XYZ):
```
6
Lattice="-0.8757 -2.2718 4.9018 3.8816 6.8880 3.8858 0.3803 7.9594 3.7568" Properties=species:S:1:pos:R:3 pbc="T T T"
Dy 3.8637 13.4599 6.9284
Dy -0.0391 0.2532 3.1659
Ho 2.8597 10.3517 8.3640
Mg 2.4079 8.3885 4.3179
Mg 1.4153 5.3200 5.7741
Gd 0.9648 3.3611 1.7301
```

Uncorrected energy: -21.9 eV for the cell shown

The following is a GGA-PBE calculation of AsPOsO after structural relaxation, from OQMD via LeMat-Bulk.

Structure (extended XYZ):
```
8
Lattice="3.0023 0.0000 0.0000 0.0000 6.7181 0.0000 0.0000 0.0000 5.8572" Properties=species:S:1:pos:R:3 pbc="T T T"
O 1.5011 2.9658 3.0560
O 1.5011 3.7523 0.1274
P 0.0000 6.0718 1.5904
P 0.0000 0.6463 4.5190
As 1.5011 4.7609 3.2659
As 1.5011 1.9572 0.3373
Os 0.0000 5.2952 5.2898
Os 0.0000 1.4229 2.3612
```

Uncorrected energy: -53.3 eV for the cell shown

The following is a GGA-PBE calculation of NdInAu3Se4 after structural relaxation, from OQMD via LeMat-Bulk.

Structure (extended XYZ):
```
9
Lattice="-1.2848 -3.5588 5.1621 3.2119 -4.8990 -2.5781 5.3848 2.0730 2.7694" Properties=species:S:1:pos:R:3 pbc="T T T"
Au 0.9636 -4.2289 1.2920
Au 4.2983 -1.4130 0.0956
Au 2.0500 -0.7429 3.9657
In 0.0000 0.0000 0.0000
Se 6.1537 -3.0072 1.4202
Se 2.7820 -5.8543 2.6299
Se 3.8805 -2.3296 5.3332
Se 1.8077 -1.5785 1.3235
Nd 3.6560 -3.1924 2.6767
```

Uncorrected energy: -35.0 eV for the cell shown

The following is a GGA-PBE calculation of ZnNiSnS3 after structural relaxation, from OQMD via LeMat-Bulk.

Structure (extended XYZ):
```
12
Lattice="-6.3333 0.1817 -2.1014 -4.8993 -2.7490 -3.6054 -2.6354 -5.1375 7.4983" Properties=species:S:1:pos:R:3 pbc="T T T"
S -4.3026 -1.2840 -1.6002
S -9.5654 -6.4208 3.3917
S -1.5729 -1.4933 1.4102
S -12.2950 -6.2115 0.3813
S -5.2709 -3.1717 1.1549
S -8.5970 -4.5331 0.6365
Sn -9.2282 -3.2430 -2.4792
Sn -4.6398 -4.4618 4.2707
Zn -1.3177 -2.5687 3.7492
Zn 0.0000 0.0000 0.0000
Ni -6.0602 -2.5189 -0.8697
Ni -7.8077 -5.1859 2.6611
```

Uncorrected energy: -49.5 eV for the cell shown

The following is a GGA-PBE calculation of ZnFeNiAs after structural relaxation, from OQMD via LeMat-Bulk.

Structure (extended XYZ):
```
4
Lattice="3.4233 -1.8999 1.3461 0.3568 -1.0401 3.9914 -0.1480 -3.9822 1.1227" Properties=species:S:1:pos:R:3 pbc="T T T"
Fe 0.0000 0.0000 0.0000
Zn 2.7240 -5.1916 4.8452
Ni 1.8160 -3.4611 3.2301
As 0.9080 -1.7305 1.6151
```

Uncorrected energy: -19.9 eV for the cell shown

The following is a GGA-PBE calculation of SrUSb after structural relaxation, from OQMD via LeMat-Bulk.

Structure (extended XYZ):
```
3
Lattice="0.0000 3.7754 3.7754 3.7754 0.0000 3.7754 3.7754 3.7754 0.0000" Properties=species:S:1:pos:R:3 pbc="T T T"
Sr 1.8877 1.8877 1.8877
U 5.6630 5.6630 5.6630
Sb 0.0000 0.0000 0.0000
```

Uncorrected energy: -16.4 eV for the cell shown

The following is a GGA-PBE calculation of Hf2SiB after structural relaxation, from OQMD via LeMat-Bulk.

Structure (extended XYZ):
```
8
Lattice="-2.6217 2.0329 -0.7180 1.3198 -1.9852 -2.4164 -8.5265 -9.7976 3.3924" Properties=species:S:1:pos:R:3 pbc="T T T"
Hf -8.9999 -8.1452 1.7763
Hf -6.4055 -5.1641 0.7441
Hf -0.8285 -1.6047 -1.5182
Hf -3.4229 -4.5858 -0.4860
Si -3.4395 -1.7558 -0.4360
Si -6.3889 -7.9940 0.6941
B 0.0000 0.0000 0.0000
B -4.2632 -4.8988 1.6962
```

Uncorrected energy: -68.3 eV for the cell shown

The following is a GGA-PBE calculation of Gd2HoCu4Sn2Ge2 after structural relaxation, from OQMD via LeMat-Bulk.

Structure (extended XYZ):
```
11
Lattice="5.6839 -5.1375 3.1240 6.7856 2.9091 3.7355 -8.2415 -0.6432 -0.3526" Properties=species:S:1:pos:R:3 pbc="T T T"
Gd 3.8121 0.3216 4.1889
Gd 0.4159 -3.1932 2.3179
Cu 7.6275 -3.3152 5.5034
Cu 3.2413 -2.5313 3.0905
Cu -3.3995 0.4436 1.0034
Cu 0.9867 -0.3403 3.4163
Sn -1.4869 -0.5825 2.5138
Sn 5.7149 -2.2891 3.9930
Ho 0.0000 0.0000 0.0000
Ge 2.6850 -0.4798 1.4770
Ge 9.7845 -1.7486 5.3824
```

Uncorrected energy: -51.8 eV for the cell shown

The following is a GGA-PBE calculation of ScBeZn after structural relaxation, from OQMD via LeMat-Bulk.

Structure (extended XYZ):
```
3
Lattice="-1.1285 -2.7876 -2.8337 -4.0065 -0.6847 -0.7435 -1.6815 1.2416 -3.5644" Properties=species:S:1:pos:R:3 pbc="T T T"
Sc -1.7041 -0.5577 -1.7854
Be 0.0000 0.0000 0.0000
Zn -5.1124 -1.6730 -5.3562
```

Uncorrected energy: -11.2 eV for the cell shown

The following is a GGA-PBE calculation of Nb2Ni3W4N3 after structural relaxation, from OQMD via LeMat-Bulk.

Structure (extended XYZ):
```
24
Lattice="5.0171 0.0000 0.0000 -2.4973 4.3514 0.0000 -2.5082 -1.4529 13.5904" Properties=species:S:1:pos:R:3 pbc="T T T"
N 1.2584 0.7912 0.0000
N -1.2541 -0.7264 6.7952
N -1.3029 2.1398 6.7941
N 1.2614 3.5602 0.0000
N 1.3145 0.7587 6.7962
N -1.2487 2.1757 0.0000
Ni 0.8565 0.7186 10.1959
Ni 1.0684 3.9773 3.4007
Ni -1.0568 -1.0788 10.1897
Ni 1.0588 0.3821 3.3976
Ni -1.0472 2.5165 10.1928
Ni -0.8449 2.1799 3.3945
Nb -2.0829 0.7257 12.0347
Nb 2.0945 2.1729 1.5556
Nb 2.0965 2.1718 5.2395
Nb -2.0849 0.7268 8.3508
W 0.4168 2.1794 8.1060
W -0.4109 3.6131 5.4863
W -0.4175 3.6315 1.3108
W -0.4244 0.7156 1.3089
W 0.4360 2.1829 12.2814
W 0.4291 -0.7329 12.2795
W -0.4052 0.7191 5.4844
W 0.4225 -0.7145 8.1041
```

Uncorrected energy: -231.8 eV for the cell shown

The following is a GGA-PBE calculation of Na2Mg2ZnGePt2 after structural relaxation, from OQMD via LeMat-Bulk.

Structure (extended XYZ):
```
8
Lattice="-4.0919 -1.9523 0.7040 0.8825 -3.0455 -3.3162 2.6467 -3.9765 4.3562" Properties=species:S:1:pos:R:3 pbc="T T T"
Zn -0.2813 -4.4871 0.8720
Mg 1.3234 -1.9882 2.1781
Mg -1.6047 -2.4989 -1.3061
Pt 1.0814 -2.4844 -0.6045
Pt -0.0393 -3.9909 3.6547
Na 2.4151 -4.4883 1.5907
Na -1.3731 -1.9870 1.4594
Ge 0.0000 0.0000 0.0000
```

Uncorrected energy: -26.6 eV for the cell shown

The following is a GGA-PBE calculation of NdBiN2O after structural relaxation, from OQMD via LeMat-Bulk.

Structure (extended XYZ):
```
30
Lattice="6.8358 0.0000 0.0000 -3.4179 5.9200 0.0000 0.0000 0.0000 12.3459" Properties=species:S:1:pos:R:3 pbc="T T T"
N 1.2165 2.1071 4.1538
N -1.2165 2.1071 10.3268
N 4.4027 0.0000 4.1538
N 1.0658 1.8459 8.2208
N 2.4331 0.0000 10.3268
N -2.2014 3.8129 4.1538
N -2.3522 4.0741 8.2208
N 2.2014 3.8129 10.3268
N -1.0657 1.8459 2.0479
N 4.7043 0.0000 8.2208
N 2.1315 0.0000 2.0479
N 2.3522 4.0741 2.0479
O 3.4179 1.9733 0.3049
O 0.0000 3.9467 6.4779
O 0.0000 0.0000 5.8536
O 3.4179 1.9733 6.4779
O 0.0000 3.9467 0.3049
O 0.0000 0.0000 12.0266
Bi 2.2778 3.9453 0.0098
Bi -1.1401 1.9747 0.0098
Bi 1.1401 1.9747 6.1828
Bi -2.2778 3.9453 6.1828
Bi 2.2802 0.0000 0.0098
Bi 4.5557 0.0000 6.1828
Nd 0.0000 3.9467 9.0935
Nd 0.0000 0.0000 9.4796
Nd 3.4179 1.9733 9.0935
Nd 0.0000 3.9467 2.9206
Nd 0.0000 0.0000 3.3067
Nd 3.4179 1.9733 2.9206
```

Uncorrected energy: -198.0 eV for the cell shown

The following is a GGA-PBE calculation of AcAsPtO after structural relaxation, from OQMD via LeMat-Bulk.

Structure (extended XYZ):
```
8
Lattice="-1.3207 1.7975 -2.8069 -7.6237 -1.4565 2.6545 0.1294 4.7159 2.9592" Properties=species:S:1:pos:R:3 pbc="T T T"
Ac -6.4566 0.5964 3.4200
Ac -1.0016 3.9842 3.0227
O -8.0857 0.0183 1.5266
O -0.7644 3.7627 0.4795
Pt -6.1689 4.0853 3.2292
Pt -2.6065 2.4203 0.4867
As -4.0617 3.1909 3.9546
As -3.4079 0.9702 2.2248
```

Uncorrected energy: -50.7 eV for the cell shown

The following is a GGA-PBE calculation of FeBiOsAu after structural relaxation, from OQMD via LeMat-Bulk.

Structure (extended XYZ):
```
4
Lattice="2.8050 -0.6178 3.6183 -0.4531 -3.7497 2.6602 3.2175 -3.3132 -0.1108" Properties=species:S:1:pos:R:3 pbc="T T T"
Fe 4.1770 -5.7605 4.6258
Os 1.3923 -1.9202 1.5419
Au 2.7847 -3.8404 3.0839
Bi 0.0000 0.0000 0.0000
```

Uncorrected energy: -24.0 eV for the cell shown

The following is a GGA-PBE calculation of Gd2Ni3B6 after structural relaxation, from OQMD via LeMat-Bulk.

Structure (extended XYZ):
```
11
Lattice="0.4350 4.8327 3.2288 -5.8046 -0.4522 0.2666 0.2855 -1.9590 2.8936" Properties=species:S:1:pos:R:3 pbc="T T T"
B -1.9315 0.7127 2.7971
B -3.0266 3.1588 4.5611
B -3.1526 1.7088 3.5919
B -0.1899 0.8446 2.7145
B -4.8942 1.5769 3.6744
B -2.0575 -0.7372 1.8279
Ni 0.1428 -0.9795 1.4468
Ni -4.1503 3.3858 2.7017
Ni -1.2193 0.9947 0.7937
Gd -1.2827 3.3778 2.4133
Gd -4.0869 1.0027 1.0821
```

Uncorrected energy: -72.0 eV for the cell shown

The following is a GGA-PBE calculation of Mg3W after structural relaxation, from OQMD via LeMat-Bulk.

Structure (extended XYZ):
```
8
Lattice="-4.8926 2.0302 0.0173 -0.8431 -2.0784 5.4702 1.7163 4.1206 1.8302" Properties=species:S:1:pos:R:3 pbc="T T T"
W -1.1252 1.6692 3.6557
W -0.0690 0.0286 0.0002
Mg -3.1032 -0.5403 4.1266
Mg -2.6769 0.5105 1.3611
Mg -3.8268 2.1899 5.0169
Mg -0.6865 2.7012 0.9206
Mg -0.5078 -1.0034 2.7354
Mg -3.4100 3.2175 2.3122
```

Uncorrected energy: -30.4 eV for the cell shown

The following is a GGA-PBE calculation of Nd2SmPt9 after structural relaxation, from OQMD via LeMat-Bulk.

Structure (extended XYZ):
```
12
Lattice="2.7199 1.5703 8.9201 -2.7199 1.5703 8.9201 0.0000 -3.1406 8.9201" Properties=species:S:1:pos:R:3 pbc="T T T"
Pt 0.0000 0.0000 8.9097
Pt 0.0000 -1.5869 15.5859
Pt 0.0000 0.0000 17.8506
Pt 0.0000 1.5869 11.1744
Pt 0.0000 0.0000 13.3801
Pt -1.3743 0.7934 15.5859
Pt 1.3743 -0.7934 11.1744
Pt -1.3743 -0.7934 11.1744
Pt 1.3743 0.7934 15.5859
Sm 0.0000 0.0000 0.0000
Nd 0.0000 0.0000 23.0317
Nd 0.0000 0.0000 3.7286
```

Calculated formation energy: -0.898 eV/atom
Uncorrected energy: -79.5 eV for the cell shown

The following is a GGA-PBE calculation of LuScPa after structural relaxation, from OQMD via LeMat-Bulk.

Structure (extended XYZ):
```
3
Lattice="0.9142 2.8902 4.0615 0.4002 5.0269 -0.5053 -3.6317 3.0274 1.8251" Properties=species:S:1:pos:R:3 pbc="T T T"
Sc 0.0000 0.0000 0.0000
Lu -0.5793 2.7361 1.3454
Pa -1.7380 8.2084 4.0361
```

Calculated formation energy: 0.972 eV/atom
Uncorrected energy: -17.4 eV for the cell shown

The following is a GGA-PBE calculation of Ho4Sn3 after structural relaxation, from OQMD via LeMat-Bulk.

Structure (extended XYZ):
```
14
Lattice="0.9245 4.9773 6.1961 -7.0044 -3.8106 0.6621 5.9521 -5.3470 -0.0369" Properties=species:S:1:pos:R:3 pbc="T T T"
Sn -0.1981 2.7341 5.5825
Sn 0.4331 -4.5254 2.7096
Sn 4.5637 -3.9106 1.5995
Sn -2.4434 -1.7523 4.3552
Sn 1.7868 -1.0379 4.8722
Sn -4.5252 -4.0489 1.3446
Ho 1.3005 1.7356 3.0928
Ho 1.9896 -3.2102 0.0748
Ho 4.2766 -0.9379 3.0744
Ho -2.9097 1.2844 4.3017
Ho -3.3720 -1.2043 1.2037
Ho -0.1097 -3.5915 5.8605
Ho -0.0459 -1.5014 2.4499
Ho -1.5126 -5.1155 0.4058
```

Uncorrected energy: -70.7 eV for the cell shown

The following is a GGA-PBE calculation of Ho3Er after structural relaxation, from OQMD via LeMat-Bulk.

Structure (extended XYZ):
```
8
Lattice="7.1601 0.0000 0.0000 -3.5800 6.2008 0.0000 0.0000 0.0000 5.5700" Properties=species:S:1:pos:R:3 pbc="T T T"
Ho 5.3681 1.0346 1.3925
Ho 1.7919 1.0346 1.3925
Ho 0.0000 2.0692 4.1775
Ho 1.7881 5.1662 4.1775
Ho 3.5800 4.1317 1.3925
Ho -1.7881 5.1662 4.1775
Er 0.0000 4.1339 1.3925
Er 3.5800 2.0669 4.1775
```

Calculated formation energy: 0.002 eV/atom
Uncorrected energy: -36.6 eV for the cell shown